1.
A relaxed SrTe2PN crystal, computed with GGA-PBE.

Results
E: -3.077 eV/atom
magnetic moment: 2.74 Bohr magnetons per cell
formation energy without anion corrections: 1.263 eV/atom
offset from the most stable computed form: 1.3688 eV per atom

abc: 6.275 6.275 4.783
angles: 90.00 90.00 90.00
Space group P4/mmm (No. 123)
One atom of each set of equivalent atoms:
Sr 0.000 0.000 0.000 (multiplicity 1)
Te 0.000 0.500 0.000 (multiplicity 2)
P 0.500 0.500 0.500 (multiplicity 1)
N 0.000 0.000 0.500 (multiplicity 1)

***

2.
A relaxed SrTePN2 crystal, computed with GGA-PBE.

Results
E: -4.578 eV/atom
magnetic moment: 2.07 Bohr magnetons per cell
formation energy without anion corrections: 0.799 eV/atom
offset from the most stable computed form: 0.0000 eV per atom

abc: 4.225 4.225 5.233
angles: 90.00 90.00 90.00
Space group P4/mmm (No. 123)
One atom of each set of equivalent atoms:
Sr 0.000 0.000 0.000 (multiplicity 1)
Te 0.500 0.500 0.000 (multiplicity 1)
P 0.500 0.500 0.500 (multiplicity 1)
N 0.000 0.500 0.500 (multiplicity 2)

***

3.
A relaxed SrTh2P2N6 crystal, computed with GGA-PBE.

Results
E: -8.104 eV/atom
magnetic moment: 0.00 Bohr magnetons per cell
formation energy without anion corrections: -1.078 eV/atom

abc: 5.901 5.941 6.527
angles: 113.62 104.42 105.33
Space group P-1 (No. 2)
One atom of each set of equivalent atoms:
Sr 0.000 0.000 0.000 (multiplicity 1)
Th 0.299 0.359 0.658 (multiplicity 2)
P 0.181 0.644 0.180 (multiplicity 2)
N 0.105 0.886 0.333 (multiplicity 2)
N 0.253 0.492 0.337 (multiplicity 2)
N 0.402 0.711 0.074 (multiplicity 2)